Entry 1:
VASP calculation (GGA-PBE) on an optimized crystal structure of GaTe6Au2.

```
18
Lattice="7.773 1.296 1.255 3.801 9.353 1.726 3.801 2.028 9.292" Properties=species:S:1:pos:R:3 pbc="T T T"
Te 7.723 3.364 2.008
Te 7.518 5.299 9.765
Te 4.610 6.283 7.002
Te 6.878 4.827 5.593
Te 11.537 11.210 9.603
Te 7.651 9.313 10.265
Te 3.837 1.468 2.670
Te 11.404 10.579 5.608
Te 8.496 7.850 6.680
Te 10.764 6.394 5.271
Te 7.856 7.378 2.508
Te 3.970 2.098 6.665
Au 5.311 3.154 4.176
Au 10.063 9.524 8.097
Au 9.198 4.924 3.644
Au 6.176 7.754 8.629
Ga 9.630 8.906 4.132
Ga 5.744 3.771 8.140
```

Output
Formation energy (no corrections), eV/atom: 0.00

Entry 2:
VASP calculation (GGA-PBE) on an optimized crystal structure of Ba4Th3NpN8.

```
16
Lattice="-4.488 3.748 -4.609 -6.177 -2.605 3.897 5.334 3.600 3.746" Properties=species:S:1:pos:R:3 pbc="T T T"
N -0.281 2.157 2.027
N -2.879 0.548 3.249
N -2.419 4.544 2.778
N -2.912 0.198 0.256
N -2.453 4.194 -0.215
N 0.023 2.505 5.286
N -5.354 2.237 -2.252
N -5.051 2.585 1.007
Ba 0.423 3.674 -0.432
Ba 2.667 1.800 1.873
Ba -2.244 1.874 -2.305
Ba 0.000 0.000 0.000
Np -3.089 -1.302 1.949
Th -2.666 2.371 1.517
Th -0.422 0.497 3.822
Th -5.333 0.571 -0.356
```

Output
Formation energy (no corrections), eV/atom: -1.10

Entry 3:
VASP calculation (GGA-PBE) on an optimized crystal structure of CsPmPrI6.

```
18
Lattice="-0.659 -11.025 -1.316 4.310 -1.537 10.724 -9.441 6.370 -1.631" Properties=species:S:1:pos:R:3 pbc="T T T"
Cs -0.203 -0.369 3.198
Cs -5.588 -5.824 4.580
I -0.225 -5.886 2.416
I -3.495 -3.038 7.803
I -2.296 -3.155 -0.025
I -6.678 -5.067 -1.212
I -5.566 -0.307 5.362
I 0.196 -4.044 6.175
I -0.076 -8.594 5.632
I 0.888 -1.126 8.989
I -5.715 2.401 2.145
I -5.987 -2.149 1.602
I -3.223 1.512 8.346
I -2.568 -7.705 -0.568
Pm 1.825 -6.281 4.704
Pm -0.329 -5.513 -0.658
Pr -5.050 -2.328 -1.473
Pr -4.721 3.185 -0.816
```

Output
Formation energy (no corrections), eV/atom: -1.29

Entry 4:
VASP calculation (GGA-PBE) on an optimized crystal structure of TaNiGePtAu.

```
10
Lattice="7.040 0.000 0.026 0.000 2.931 0.000 -5.897 0.000 7.480" Properties=species:S:1:pos:R:3 pbc="T T T"
Ni -3.064 1.466 4.479
Ni -0.116 0.000 0.739
Ge -0.198 1.466 2.615
Ge -3.147 0.000 6.355
Au 4.456 0.000 2.300
Au 1.507 1.466 6.040
Ta -0.704 0.000 4.851
Ta 2.244 1.466 1.111
Pt 1.868 0.000 3.496
Pt -1.080 1.466 7.236
```

Output
ΔH_f (0 K), kcal/mol of atoms: -4.908

Number 1: spin magnetization 0.00 μB per atom. Number 2: spin magnetization 0.13 μB per atom. Number 3: spin magnetization 0.12 μB per atom. Number 4: spin magnetization 0.00 μB per atom.